Below is a relaxed LiInS2N crystal, with properties calculated at the PBE level.

```
LiInS2N
1.0
-2.686 -1.439 3.562
-2.448 -2.708 -2.940
2.322 -2.781 0.628
S In Li N
2 1 1 1
direct
0.000 0.500 0.000 S
0.500 0.000 0.000 S
0.500 0.500 0.500 In
0.000 0.000 0.000 Li
0.000 0.000 0.500 N
```

Results
The calculation puts the uncorrected formation energy at 0.78 eV/atom. The theoretical density is 4.11 Mg/m³. The value obtained for the spin magnetization is 0.000 μB/atom.

---

Below is a relaxed Pm8PrIr6 crystal, with properties calculated at the PBE level.

```
Pm8PrIr6
1.0
-4.826 -3.753 4.989
2.400 -0.055 7.517
-4.099 4.716 4.820
Pm Ir Pr
8 6 1
direct
0.778 0.448 0.111 Pm
0.552 0.889 0.222 Pm
0.666 0.666 0.666 Pm
0.889 0.222 0.552 Pm
0.222 0.552 0.889 Pm
0.334 0.334 0.334 Pm
0.448 0.111 0.778 Pm
0.111 0.778 0.448 Pm
0.393 0.723 0.058 Ir
0.277 0.942 0.607 Ir
0.607 0.277 0.942 Ir
0.723 0.058 0.393 Ir
0.058 0.393 0.723 Ir
0.942 0.607 0.277 Ir
0.000 0.000 0.000 Pr
```

Results
The theoretical density is 10.54 Mg/m³. The formation energy is -0.61 eV/atom. The value obtained for the spin magnetization is 0.000 μB/atom.

---

Below is a relaxed RbHg5Cl11 crystal, with properties calculated at the PBE level.

```
RbHg5Cl11
1.0
0.640 -8.980 -3.406
2.062 5.245 -7.803
6.517 -1.133 -1.558
Cl Hg Rb
11 5 1
direct
0.000 0.000 0.500 Cl
0.707 0.131 0.306 Cl
0.832 0.584 0.057 Cl
0.293 0.869 0.694 Cl
0.168 0.416 0.943 Cl
0.643 0.643 0.618 Cl
0.131 0.707 0.306 Cl
0.869 0.293 0.694 Cl
0.584 0.832 0.057 Cl
0.357 0.357 0.382 Cl
0.416 0.168 0.943 Cl
0.654 0.978 0.679 Hg
0.978 0.654 0.679 Hg
0.500 0.500 0.000 Hg
0.346 0.022 0.321 Hg
0.022 0.346 0.321 Hg
0.000 0.000 0.000 Rb
```

Results
The calculation puts the uncorrected formation energy at -0.77 eV/atom. The theoretical density is 4.54 Mg/m³. The value obtained for the spin magnetization is 0.004 μB/atom.

---

Below is a relaxed SrMgBe3 crystal, with properties calculated at the PBE level.

```
SrMgBe3
1.0
-4.507 -0.523 -1.231
1.045 -4.077 -2.093
-0.835 -2.280 4.025
Be Mg Sr
3 1 1
direct
0.000 0.500 0.000 Be
0.500 0.000 0.000 Be
0.000 0.000 0.500 Be
0.000 0.000 0.000 Mg
0.500 0.500 0.500 Sr
```

Results
The theoretical density is 2.22 Mg/m³. The formation energy is 0.90 eV/atom. The value obtained for the spin magnetization is 0.000 μB/atom.

---

Below is a relaxed ZrTe2W crystal, with properties calculated at the PBE level.

```
ZrTe2W
1.0
-0.658 4.497 -0.992
-3.352 3.159 0.651
1.797 2.632 5.090
Te Zr W
2 1 1
direct
0.006 0.006 0.980 Te
0.494 0.494 0.520 Te
0.250 0.250 0.250 Zr
0.750 0.750 0.750 W
```

Results
The calculation puts the uncorrected formation energy at 0.19 eV/atom. The theoretical density is 10.13 Mg/m³. The value obtained for the spin magnetization is 0.000 μB/atom.

---

Below is a relaxed ZnP3Os crystal, with properties calculated at the PBE level.

```
ZnP3Os
1.0
-1.475 0.759 4.325
-4.346 0.405 -1.553
-0.632 -4.552 0.584
Zn P Os
1 3 1
direct
0.500 0.500 0.500 Zn
0.000 0.000 0.500 P
0.500 0.000 0.000 P
0.000 0.500 0.000 P
0.000 0.000 0.000 Os
```

Results
The theoretical density is 5.82 Mg/m³. The formation energy is 0.76 eV/atom. The value obtained for the spin magnetization is 0.000 μB/atom.

---

Below is a relaxed Nd2ScN2Cl2 crystal, with properties calculated at the PBE level.

```
Nd2ScN2Cl2
1.0
4.237 0.000 0.000
0.000 4.237 0.000
-2.119 -2.119 7.535
Nd Cl Sc N
2 2 1 2
direct
0.600 0.600 0.200 Nd
0.400 0.400 0.800 Nd
0.814 0.814 0.629 Cl
0.186 0.186 0.371 Cl
0.000 0.000 0.000 Sc
0.000 0.500 0.000 N
0.500 0.000 0.000 N
```

Results
The calculation puts the uncorrected formation energy at -1.65 eV/atom. The theoretical density is 5.31 Mg/m³. The value obtained for the spin magnetization is 0.017 μB/atom.

---

Below is a relaxed YICl crystal, with properties calculated at the PBE level.

```
YICl
1.0
-2.866 2.397 1.340
-3.335 -0.653 -5.963
-3.464 -6.400 4.043
I Y Cl
2 2 2
direct
0.250 0.359 0.725 I
0.750 0.641 0.275 I
0.750 0.283 0.997 Y
0.250 0.717 0.003 Y
0.750 0.890 0.835 Cl
0.250 0.110 0.165 Cl
```

Results
The calculation puts the uncorrected formation energy at -1.61 eV/atom. The theoretical density is 3.72 Mg/m³. The value obtained for the spin magnetization is 0.335 μB/atom.

---

Number 8 is which compound?
YICl